Entry 1:
Computed, not measured: Rb2CoOsBr6 after structural relaxation at the PBE level of DFT.

a b c (Å): 7.383 7.383 7.383
angles (deg): 60.00 60.00 60.00
Sites, in units of the cell vectors:
1 Rb 0.250 0.250 0.250
2 Rb 0.750 0.750 0.750
3 Co 0.000 0.000 0.000
4 Os 0.500 0.500 0.500
5 Br 0.255 0.255 0.745
6 Br 0.255 0.745 0.255
7 Br 0.255 0.745 0.745
8 Br 0.745 0.255 0.255
9 Br 0.745 0.255 0.745
10 Br 0.745 0.745 0.255

Computed properties:
**ΔE_f (raw)**: -0.557 eV per atom
**Energy**: -3.59 eV per atom
**SG**: Fm-3m (225)

Entry 2:
Computed, not measured: Mg2ScTc after structural relaxation at the PBE level of DFT.

a b c (Å): 3.609 3.609 5.766
angles (deg): 90.00 90.00 90.00
Sites, in units of the cell vectors:
1 Mg 0.000 0.000 0.223
2 Mg 0.000 0.000 0.777
3 Sc 0.500 0.500 0.500
4 Tc 0.500 0.500 0.000

Computed properties:
**Offset from the most stable computed form**: 0.1707 eV/atom
**Energy**: -4.78 eV per atom
**DFT formation energy**: 188 meV/atom
**SG**: P4/mmm (123)

Entry 3:
Computed, not measured: Rb2CuSe8 after structural relaxation at the PBE level of DFT.

a b c (Å): 6.458 6.458 8.931
angles (deg): 100.64 100.64 66.24
Sites, in units of the cell vectors:
1 Rb 0.193 0.193 0.134
2 Rb 0.807 0.807 0.866
3 Cu 0.500 0.500 0.500
4 Se 0.165 0.165 0.623
5 Se 0.225 0.717 0.295
6 Se 0.283 0.775 0.705
7 Se 0.356 0.356 0.821
8 Se 0.644 0.644 0.179
9 Se 0.717 0.225 0.295
10 Se 0.775 0.283 0.705
11 Se 0.835 0.835 0.377

Computed properties:
**ΔE_f (raw)**: -0.330 eV per atom
**Energy**: -3.41 eV per atom
**SG**: C2/m (12)

Entry 4:
Computed, not measured: Ag2BiSbTe2Se2 after structural relaxation at the PBE level of DFT.

a b c (Å): 5.966 6.018 12.255
angles (deg): 90.00 90.00 90.00
Sites, in units of the cell vectors:
1 Ag 0.000 0.000 0.000
2 Ag 0.000 0.500 0.252
3 Ag 0.500 0.000 0.752
4 Ag 0.500 0.500 0.500
5 Bi 0.000 0.500 0.739
6 Bi 0.500 0.000 0.239
7 Sb 0.000 0.000 0.492
8 Sb 0.500 0.500 0.992
9 Te 0.000 0.000 0.759
10 Te 0.000 0.500 0.010
11 Te 0.500 0.000 0.510
12 Te 0.500 0.500 0.259
13 Se 0.000 0.000 0.268
14 Se 0.000 0.500 0.506
15 Se 0.500 0.000 0.006
16 Se 0.500 0.500 0.768

Computed properties:
**ΔE_f (raw)**: -0.119 eV per atom
**Energy**: -3.49 eV per atom
**SG**: Imm2 (44)

Entry 5:
Computed, not measured: MgAsAu after structural relaxation at the PBE level of DFT.

a b c (Å): 7.453 4.433 7.341
angles (deg): 90.00 90.00 90.00
Sites, in units of the cell vectors:
1 Mg 0.000 0.000 0.000
2 Mg 0.000 0.500 0.500
3 Mg 0.500 0.000 0.025
4 Mg 0.500 0.500 0.525
5 As 0.317 0.000 0.683
6 As 0.317 0.500 0.183
7 As 0.683 0.000 0.683
8 As 0.683 0.500 0.183
9 Au 0.189 0.000 0.340
10 Au 0.189 0.500 0.840
11 Au 0.811 0.000 0.340
12 Au 0.811 0.500 0.840

Computed properties:
**Energy**: -3.46 eV per atom
**DFT formation energy**: -285 meV/atom
**SG**: Amm2 (38)

Entry 6:
Computed, not measured: GaHgS2 after structural relaxation at the PBE level of DFT.

a b c (Å): 6.386 6.386 9.858
angles (deg): 90.00 90.00 90.00
Sites, in units of the cell vectors:
1 Ga 0.000 0.000 0.000
2 Ga 0.000 0.500 0.250
3 Ga 0.500 0.000 0.750
4 Ga 0.500 0.500 0.500
5 Hg 0.000 0.000 0.500
6 Hg 0.000 0.500 0.750
7 Hg 0.500 0.000 0.250
8 Hg 0.500 0.500 0.000
9 S 0.182 0.250 0.125
10 S 0.250 0.682 0.375
11 S 0.250 0.818 0.875
12 S 0.318 0.250 0.625
13 S 0.682 0.750 0.625
14 S 0.750 0.182 0.875
15 S 0.750 0.318 0.375
16 S 0.818 0.750 0.125

Computed properties:
**ΔE_f (raw)**: -0.270 eV per atom
**Energy**: -3.17 eV per atom
**SG**: I-42d (122)

Entry 7:
Computed, not measured: Pr2Nd2Y7 after structural relaxation at the PBE level of DFT.

a b c (Å): 3.656 10.672 10.700
angles (deg): 66.89 80.21 80.19
Sites, in units of the cell vectors:
1 Pr 0.000 0.235 0.266
2 Pr 0.000 0.765 0.734
3 Nd 0.199 0.302 0.801
4 Nd 0.801 0.698 0.199
5 Y 0.121 0.882 0.381
6 Y 0.332 0.414 0.421
7 Y 0.332 0.920 0.915
8 Y 0.500 0.500 0.000
9 Y 0.668 0.080 0.085
10 Y 0.668 0.586 0.579
11 Y 0.879 0.118 0.619

Computed properties:
**Offset from the most stable computed form**: 0.0000 eV/atom
**Energy**: -5.73 eV per atom
**DFT formation energy**: 120 meV/atom
**SG**: P-1 (2)

Entry 8:
Computed, not measured: AlGaPH2 after structural relaxation at the PBE level of DFT.

a b c (Å): 3.460 3.460 5.877
angles (deg): 90.00 90.00 90.00
Sites, in units of the cell vectors:
1 Al 0.000 0.000 0.000
2 Ga 0.000 0.000 0.500
3 P 0.500 0.500 0.000
4 H 0.000 0.500 0.500
5 H 0.500 0.000 0.500

Computed properties:
**Energy**: -3.53 eV per atom
**SG**: P4/mmm (123)

Entry 9:
Computed, not measured: CrHg2P after structural relaxation at the PBE level of DFT.

a b c (Å): 4.018 4.018 4.834
angles (deg): 90.00 90.00 90.00
Sites, in units of the cell vectors:
1 Cr 0.000 0.000 0.000
2 Hg 0.000 0.500 0.500
3 Hg 0.500 0.000 0.500
4 P 0.500 0.500 0.000

Computed properties:
**Energy**: -3.45 eV per atom
**DFT formation energy**: 459 meV/atom
**SG**: P4/mmm (123)

Entry 10:
Computed, not measured: K3CeRh3O8 after structural relaxation at the PBE level of DFT.

a b c (Å): 7.209 7.209 7.209
angles (deg): 52.54 52.54 52.54
Sites, in units of the cell vectors:
1 K 0.000 0.500 0.500
2 K 0.500 0.000 0.500
3 K 0.500 0.500 0.000
4 Ce 0.500 0.500 0.500
5 Rh 0.000 0.000 0.500
6 Rh 0.000 0.500 0.000
7 Rh 0.500 0.000 0.000
8 O 0.205 0.739 0.739
9 O 0.221 0.221 0.221
10 O 0.261 0.261 0.795
11 O 0.261 0.795 0.261
12 O 0.739 0.205 0.739
13 O 0.739 0.739 0.205
14 O 0.779 0.779 0.779
15 O 0.795 0.261 0.261

Computed properties:
**ΔE_f (raw)**: -1.468 eV per atom
**Energy**: -6.20 eV per atom
**SG**: R-3m (166)

Entry 11:
Computed, not measured: Be2RePb after structural relaxation at the PBE level of DFT.

a b c (Å): 3.370 3.960 8.539
angles (deg): 90.00 90.00 90.00
Sites, in units of the cell vectors:
1 Be 0.000 0.000 0.000
2 Be 0.000 0.500 0.240
3 Be 0.500 0.000 0.740
4 Be 0.500 0.500 0.500
5 Re 0.000 0.000 0.526
6 Re 0.500 0.500 0.026
7 Pb 0.000 0.500 0.760
8 Pb 0.500 0.000 0.260

Computed properties:
**Energy**: -5.30 eV per atom
**DFT formation energy**: 605 meV/atom
**SG**: Imm2 (44)

Entry 12:
Computed, not measured: TiVTeN2 after structural relaxation at the PBE level of DFT.

a b c (Å): 3.838 3.838 5.363
angles (deg): 90.00 90.00 90.00
Sites, in units of the cell vectors:
1 Ti 0.000 0.000 0.000
2 V 0.500 0.500 0.500
3 Te 0.500 0.500 0.000
4 N 0.000 0.500 0.500
5 N 0.500 0.000 0.500

Computed properties:
**ΔE_f (raw)**: 0.352 eV per atom
**Offset from the most stable computed form**: 0.0000 eV/atom
**Energy**: -7.01 eV per atom
**SG**: P4/mmm (123)

Entry 13:
Computed, not measured: Tl2Hg5Se after structural relaxation at the PBE level of DFT.

a b c (Å): 5.401 6.994 7.438
angles (deg): 74.53 76.47 71.46
Sites, in units of the cell vectors:
1 Tl 0.000 0.000 0.000
2 Tl 0.219 0.846 0.450
3 Hg 0.240 0.388 0.915
4 Hg 0.455 0.242 0.292
5 Hg 0.677 0.116 0.664
6 Hg 0.725 0.610 0.169
7 Hg 0.955 0.479 0.570
8 Se 0.458 0.745 0.784

Computed properties:
**ΔE_f (raw)**: -0.087 eV per atom
**Energy**: -1.30 eV per atom
**SG**: P1 (1)

Entry 14:
Computed, not measured: Li2IrW after structural relaxation at the PBE level of DFT.

a b c (Å): 2.780 4.478 4.747
angles (deg): 90.00 90.00 90.00
Sites, in units of the cell vectors:
1 Li 0.000 0.000 0.000
2 Li 0.500 0.500 0.000
3 Ir 0.000 0.500 0.500
4 W 0.500 0.000 0.500

Computed properties:
**Energy**: -6.31 eV per atom
**DFT formation energy**: 100 meV/atom
**SG**: Pmmm (47)

Entry 15:
Computed, not measured: Re3As after structural relaxation at the PBE level of DFT.

a b c (Å): 2.840 2.840 25.843
angles (deg): 90.00 90.00 120.00
Sites, in units of the cell vectors:
1 Re 0.000 0.000 0.000
2 Re 0.000 0.000 0.249
3 Re 0.000 0.000 0.751
4 Re 0.333 0.667 0.418
5 Re 0.333 0.667 0.667
6 Re 0.333 0.667 0.916
7 Re 0.667 0.333 0.084
8 Re 0.667 0.333 0.333
9 Re 0.667 0.333 0.582
10 As 0.000 0.000 0.500
11 As 0.333 0.667 0.167
12 As 0.667 0.333 0.833

Computed properties:
**Offset from the most stable computed form**: 0.0417 eV/atom
**Energy**: -10.30 eV per atom
**DFT formation energy**: 200 meV/atom
**SG**: R-3m (166)

Entry 16:
Computed, not measured: Li4PmAg4 after structural relaxation at the PBE level of DFT.

a b c (Å): 6.366 6.366 6.366
angles (deg): 97.81 97.81 136.74
Sites, in units of the cell vectors:
1 Li 0.064 0.634 0.699
2 Li 0.366 0.064 0.430
3 Li 0.634 0.936 0.570
4 Li 0.936 0.366 0.301
5 Pm 0.000 0.000 0.000
6 Ag 0.279 0.360 0.640
7 Ag 0.360 0.721 0.081
8 Ag 0.640 0.279 0.919
9 Ag 0.721 0.640 0.360

Computed properties:
**Energy**: -2.78 eV per atom
**DFT formation energy**: -133 meV/atom
**SG**: I4/m (87)

Entry 17:
Computed, not measured: CaZr2Co after structural relaxation at the PBE level of DFT.

a b c (Å): 4.239 4.239 9.366
angles (deg): 90.00 90.00 90.00
Sites, in units of the cell vectors:
1 Ca 0.000 0.000 0.000
2 Ca 0.500 0.500 0.500
3 Zr 0.000 0.000 0.500
4 Zr 0.000 0.500 0.250
5 Zr 0.500 0.000 0.750
6 Zr 0.500 0.500 0.000
7 Co 0.000 0.500 0.750
8 Co 0.500 0.000 0.250

Computed properties:
**Offset from the most stable computed form**: 0.4765 eV/atom
**Energy**: -6.04 eV per atom
**DFT formation energy**: 510 meV/atom
**SG**: I-4m2 (119)

Entry 18:
Computed, not measured: CaTe2WN after structural relaxation at the PBE level of DFT.

a b c (Å): 5.763 5.763 3.972
angles (deg): 90.00 90.00 90.00
Sites, in units of the cell vectors:
1 Ca 0.000 0.000 0.000
2 Te 0.000 0.500 0.000
3 Te 0.500 0.000 0.000
4 W 0.500 0.500 0.500
5 N 0.000 0.000 0.500

Computed properties:
**ΔE_f (raw)**: 1.603 eV per atom
**Offset from the most stable computed form**: 1.8978 eV/atom
**Energy**: -4.31 eV per atom
**SG**: P4/mmm (123)

Entry 19:
Computed, not measured: Ti2I2Br after structural relaxation at the PBE level of DFT.

a b c (Å): 8.899 8.899 3.589
angles (deg): 90.00 90.00 90.00
Sites, in units of the cell vectors:
1 Ti 0.105 0.395 0.000
2 Ti 0.395 0.895 0.000
3 Ti 0.605 0.105 0.000
4 Ti 0.895 0.605 0.000
5 I 0.144 0.644 0.500
6 I 0.356 0.144 0.500
7 I 0.644 0.856 0.500
8 I 0.856 0.356 0.500
9 Br 0.000 0.000 0.500
10 Br 0.500 0.500 0.500

Computed properties:
**ΔE_f (raw)**: 0.108 eV per atom
**Offset from the most stable computed form**: 0.6906 eV/atom
**Energy**: -4.00 eV per atom
**SG**: P4/mbm (127)

Entry 20:
Computed, not measured: TbTm2Ni2 after structural relaxation at the PBE level of DFT.

a b c (Å): 5.190 4.391 10.031
angles (deg): 90.00 97.42 90.00
Sites, in units of the cell vectors:
1 Tb 0.088 0.250 0.286
2 Tb 0.912 0.750 0.714
3 Tm 0.254 0.250 0.967
4 Tm 0.395 0.250 0.617
5 Tm 0.605 0.750 0.383
6 Tm 0.746 0.750 0.033
7 Ni 0.133 0.750 0.475
8 Ni 0.262 0.750 0.139
9 Ni 0.738 0.250 0.861
10 Ni 0.867 0.250 0.525

Computed properties:
**Offset from the most stable computed form**: 0.0000 eV/atom
**Energy**: -5.37 eV per atom
**DFT formation energy**: -343 meV/atom
**SG**: P2_1/m (11)